1.
La2YZn | GGA-PBEsol | optimized geometry

Values from the calculation:
Crystal system ... tetragonal
Formation enthalpy at 0 K ... -0.155 eV/atom

a b c (Å): 3.6180 3.6180 8.5826
angles (deg): 90.00 90.00 90.00
Space group P4mm (No. 99)
Symmetry-distinct sites (fractional):
La: 0.0000 0.0000 0.0000 [1 per cell]
La: 0.5000 0.5000 0.2961 [1 per cell]
Y: 0.0000 0.0000 0.5874 [1 per cell]
Zn: 0.5000 0.5000 0.7742 [1 per cell]

***

2.
InPtSe4 | GGA-PBEsol | optimized geometry

Values from the calculation:
Crystal system ... cubic
Raw formation energy ... 0.649 eV per atom

a b c (Å): 7.9166 7.9166 7.9166
angles (deg): 90.00 90.00 90.00
Space group F-43m (No. 216)
Symmetry-distinct sites (fractional):
In: 0.0000 0.0000 0.0000 [4 per cell]
Pt: 0.2500 0.2500 0.2500 [4 per cell]
Se: 0.1221 0.1221 0.6221 [16 per cell]

***

3.
KLaYH2 | GGA-PBEsol | optimized geometry

Values from the calculation:
Crystal system ... tetragonal
E ... -3.39 eV per atom

a b c (Å): 4.4943 4.4943 6.1266
angles (deg): 90.00 90.00 90.00
Space group P4/mmm (No. 123)
Symmetry-distinct sites (fractional):
K: 0.0000 0.0000 0.0000 [1 per cell]
La: 0.5000 0.5000 0.0000 [1 per cell]
Y: 0.5000 0.5000 0.5000 [1 per cell]
H: 0.0000 0.5000 0.5000 [2 per cell]

***

4.
MnNi3Sb | GGA-PBEsol | optimized geometry

Values from the calculation:
Crystal system ... cubic
Raw formation energy ... 1.055 eV per atom

a b c (Å): 4.5311 4.5311 4.5311
angles (deg): 90.00 90.00 90.00
Space group Pm-3m (No. 221)
Symmetry-distinct sites (fractional):
Mn: 0.0000 0.0000 0.0000 [1 per cell]
Ni: 0.0000 0.5000 0.5000 [3 per cell]
Sb: 0.5000 0.5000 0.5000 [1 per cell]

***

5.
ZrSc2Hg | GGA-PBEsol | optimized geometry

Values from the calculation:
Crystal system ... tetragonal
Formation enthalpy at 0 K ... -0.292 eV/atom

a b c (Å): 3.2556 3.2556 8.1640
angles (deg): 90.00 90.00 90.00
Space group P4/mmm (No. 123)
Symmetry-distinct sites (fractional):
Zr: 0.0000 0.0000 0.0000 [1 per cell]
Sc: 0.5000 0.5000 0.2619 [2 per cell]
Hg: 0.0000 0.0000 0.5000 [1 per cell]

***

6.
TePt2Rh | GGA-PBEsol | optimized geometry

Values from the calculation:
Crystal system ... tetragonal
Raw formation energy ... 0.058 eV per atom

a b c (Å): 3.4223 3.4223 5.6284
angles (deg): 90.00 90.00 90.00
Space group P4mm (No. 99)
Symmetry-distinct sites (fractional):
Te: 0.0000 0.0000 0.0000 [1 per cell]
Pt: 0.0000 0.0000 0.5167 [1 per cell]
Pt: 0.5000 0.5000 0.2902 [1 per cell]
Rh: 0.5000 0.5000 0.7702 [1 per cell]